[1]
## Ho12Mg2Tl5 (GGA-PBE)

Data for a geometry-optimized Ho12Mg2Tl5 structure.

Cell lengths 13.497, 9.690, 8.465 Å; angles 90.00, 95.75, 90.00 degrees
Space group C2/m (No. 12)
One atom of each set of equivalent atoms:
Ho: 0.083 0.000 0.186
Ho: 0.095 0.500 0.641
Ho: 0.114 0.207 0.870
Ho: 0.145 0.321 0.290
Mg: 0.000 0.172 0.500
Tl: 0.000 0.500 0.000
Tl: 0.184 0.000 0.539
Tl: 0.226 0.500 0.979

Values from the calculation:
The calculation puts the raw total energy at -3.76 eV/atom. Its total magnetization is 0.000 μB/cell. The calculation puts the formation energy from the elements at -75 meV/atom.


[2]
## B3TeS (GGA-PBE)

Data for a geometry-optimized B3TeS structure.

Cell lengths 4.473, 4.473, 4.473 Å; angles 90.00, 90.00, 90.00 degrees
Space group Pm-3m (No. 221)
One atom of each set of equivalent atoms:
B: 0.000 0.000 0.500
Te: 0.000 0.000 0.000
S: 0.500 0.500 0.500

Values from the calculation:
The calculation puts the raw total energy at -3.17 eV/atom. Its total magnetization is 0.000 μB/cell. As for the energy above the most stable polymorph in this dataset: 3.44 eV/f.u.


[3]
## HgAuI3 (GGA-PBE)

Data for a geometry-optimized HgAuI3 structure.

Cell lengths 4.697, 22.347, 9.318 Å; angles 90.00, 90.00, 90.00 degrees
Space group Cmc2_1 (No. 36)
One atom of each set of equivalent atoms:
Hg: 0.000 0.146 0.000
Au: 0.000 0.331 0.900
I: 0.000 0.080 0.762
I: 0.000 0.260 0.120
I: 0.000 0.406 0.690

Values from the calculation:
The calculation puts the raw total energy at -1.80 eV/atom. Its total magnetization is 0.000 μB/cell. As for the energy above the most stable polymorph in this dataset: 0.14 eV/f.u.


[4]
## Sm12Hg3H5 (GGA-PBE)

Data for a geometry-optimized Sm12Hg3H5 structure.

Cell lengths 15.869, 15.869, 15.869 Å; angles 90.00, 90.00, 90.00 degrees
Space group Ia-3d (No. 230)
One atom of each set of equivalent atoms:
Sm: 0.042 0.055 0.651
Hg: 0.000 0.250 0.125
H: 0.000 0.000 0.000
H: 0.000 0.250 0.375

Values from the calculation:
The calculation puts the raw total energy at -3.97 eV/atom. Its total magnetization is 0.001 μB/cell.


[5]
## DyMg5Rh6 (GGA-PBE)

Data for a geometry-optimized DyMg5Rh6 structure.

Cell lengths 4.474, 6.395, 7.057 Å; angles 90.00, 108.40, 90.00 degrees
Space group P2/m (No. 10)
One atom of each set of equivalent atoms:
Dy: 0.000 0.000 0.000
Mg: 0.000 0.500 0.000
Mg: 0.331 0.000 0.660
Mg: 0.334 0.500 0.667
Rh: 0.169 0.256 0.339
Rh: 0.500 0.260 0.000

Values from the calculation:
The calculation puts the raw total energy at -5.29 eV/atom. Its total magnetization is 0.000 μB/cell. The calculation puts the formation energy from the elements at -564 meV/atom.


[6]
## Pr2NdAgHg4 (GGA-PBE)

Data for a geometry-optimized Pr2NdAgHg4 structure.

Cell lengths 5.2109, 5.2109, 27.4121 Å; angles 90.00, 90.00, 120.00 degrees
Space group R-3m (No. 166, hexagonal axes)
One atom of each set of equivalent atoms:
Pr: 0.0000 0.0000 0.2402
Nd: 0.0000 0.0000 0.0000
Ag: 0.0000 0.0000 0.5000
Hg: 0.0000 0.0000 0.1254
Hg: 0.0000 0.0000 0.3730

Values from the calculation:
The calculation puts the raw total energy at -2.69 eV/atom. Its total magnetization is 0.003 μB/cell. The calculation puts the formation energy from the elements at -390 meV/atom.


[7]
## BaNaPd10 (GGA-PBE)

Data for a geometry-optimized BaNaPd10 structure.

Cell lengths 4.458, 5.444, 9.438 Å; angles 90.00, 90.00, 90.00 degrees
Space group Pmmm (No. 47)
One atom of each set of equivalent atoms:
Ba: 0.000 0.000 0.000
Na: 0.000 0.500 0.500
Pd: 0.000 0.000 0.342
Pd: 0.000 0.500 0.180
Pd: 0.500 0.000 0.500
Pd: 0.500 0.252 0.255
Pd: 0.500 0.500 0.000

Values from the calculation:
The calculation puts the raw total energy at -4.75 eV/atom. Its total magnetization is 0.000 μB/cell. The calculation puts the formation energy from the elements at -149 meV/atom.


[8]
## MgIn3Se4 (GGA-PBE)

Data for a geometry-optimized MgIn3Se4 structure.

Cell lengths 6.620, 6.620, 12.106 Å; angles 90.00, 90.00, 90.00 degrees
Space group I-42m (No. 121)
One atom of each set of equivalent atoms:
Mg: 0.000 0.000 0.000
In: 0.000 0.000 0.500
In: 0.000 0.500 0.250
Se: 0.220 0.220 0.867

Values from the calculation:
The calculation puts the raw total energy at -3.49 eV/atom. Its total magnetization is 0.000 μB/cell.


[9]
## LaDy3Ho3 (GGA-PBE)

Data for a geometry-optimized LaDy3Ho3 structure.

Cell lengths 13.437, 21.995, 6.619 Å; angles 90.00, 109.14, 90.00 degrees
Space group Cm (No. 8)
One atom of each set of equivalent atoms:
La: 0.000 0.000 0.000
La: 0.176 0.000 0.567
La: 0.412 0.412 0.389
Dy: 0.104 0.366 0.468
Dy: 0.266 0.266 0.207
Dy: 0.287 0.000 0.127
Dy: 0.356 0.356 0.838
Dy: 0.399 0.131 0.999
Dy: 0.467 0.000 0.675
Dy: 0.496 0.235 0.730
Ho: 0.026 0.222 0.243
Ho: 0.047 0.500 0.231
Ho: 0.127 0.127 0.945
Ho: 0.154 0.402 0.995
Ho: 0.226 0.226 0.684
Ho: 0.246 0.500 0.689
Ho: 0.320 0.124 0.439

Values from the calculation:
The calculation puts the raw total energy at -4.51 eV/atom. Its total magnetization is 0.000 μB/cell. As for the energy above the most stable polymorph in this dataset: 0.78 eV/f.u. The calculation puts the formation energy from the elements at 130 meV/atom.


[10]
## CaPdSe (GGA-PBE)

Data for a geometry-optimized CaPdSe structure.

Cell lengths 4.951, 4.951, 5.798 Å; angles 90.00, 90.00, 90.00 degrees
Space group P4/nmm (No. 129, origin choice 2)
One atom of each set of equivalent atoms:
Ca: 0.250 0.250 0.185
Pd: 0.250 0.250 0.691
Se: 0.250 0.750 0.500

Values from the calculation:
The calculation puts the raw total energy at -4.27 eV/atom. Its total magnetization is 0.000 μB/cell. As for the energy above the most stable polymorph in this dataset: 1.37 eV/f.u.


[11]
## Ba2ZrRu (GGA-PBE)

Data for a geometry-optimized Ba2ZrRu structure.

Cell lengths 4.421, 4.421, 11.403 Å; angles 90.00, 90.00, 90.00 degrees
Space group I4/mmm (No. 139)
One atom of each set of equivalent atoms:
Ba: 0.000 0.500 0.250
Zr: 0.000 0.000 0.000
Ru: 0.000 0.000 0.500

Values from the calculation:
The calculation puts the raw total energy at -4.63 eV/atom. Its total magnetization is 0.000 μB/cell. As for the energy above the most stable polymorph in this dataset: 2.74 eV/f.u. The calculation puts the formation energy from the elements at 786 meV/atom.


[12]
## TiBeVRu2 (GGA-PBE)

Data for a geometry-optimized TiBeVRu2 structure.

Cell lengths 4.481, 4.481, 4.281 Å; angles 90.00, 90.00, 90.00 degrees
Space group P4/mmm (No. 123)
One atom of each set of equivalent atoms:
Ti: 0.000 0.000 0.000
Be: 0.500 0.500 0.500
V: 0.000 0.000 0.500
Ru: 0.000 0.500 0.000

Values from the calculation:
The calculation puts the raw total energy at -6.52 eV/atom. Its total magnetization is 0.000 μB/cell. As for the energy above the most stable polymorph in this dataset: 2.54 eV/f.u. The calculation puts the formation energy from the elements at 1340 meV/atom.


[13]
## Ru2PbW (GGA-PBE)

Data for a geometry-optimized Ru2PbW structure.

Cell lengths 4.228, 4.228, 7.382 Å; angles 90.00, 90.00, 90.00 degrees
Space group I4/mmm (No. 139)
One atom of each set of equivalent atoms:
Ru: 0.000 0.500 0.250
Pb: 0.000 0.000 0.000
W: 0.000 0.000 0.500

Values from the calculation:
The calculation puts the raw total energy at -8.34 eV/atom. Its total magnetization is 0.000 μB/cell. The calculation puts the formation energy from the elements at 468 meV/atom.


[14]
## ScPtRh (GGA-PBE)

Data for a geometry-optimized ScPtRh structure.

Cell lengths 4.867, 5.110, 5.126 Å; angles 90.00, 90.00, 90.00 degrees
Space group Immm (No. 71)
One atom of each set of equivalent atoms:
Sc: 0.000 0.000 0.000
Pt: 0.000 0.000 0.500
Rh: 0.000 0.500 0.500

Values from the calculation:
The calculation puts the raw total energy at -6.52 eV/atom. Its total magnetization is 0.009 μB/cell. As for the energy above the most stable polymorph in this dataset: 2.33 eV/f.u. The calculation puts the formation energy from the elements at 55 meV/atom.


[15]
## PaTa2Sn (GGA-PBE)

Data for a geometry-optimized PaTa2Sn structure.

Cell lengths 3.0522, 3.0522, 31.8902 Å; angles 90.00, 90.00, 120.00 degrees
Space group R-3m (No. 166, hexagonal axes)
One atom of each set of equivalent atoms:
Pa: 0.0000 0.0000 0.0000
Ta: 0.0000 0.0000 0.0908
Sn: 0.0000 0.0000 0.5000

Values from the calculation:
The calculation puts the raw total energy at -8.78 eV/atom. Its total magnetization is 0.000 μB/cell. As for the energy above the most stable polymorph in this dataset: 1.81 eV/f.u. The calculation puts the formation energy from the elements at 520 meV/atom.


[16]
## Ba6In2Ir (GGA-PBE)

Data for a geometry-optimized Ba6In2Ir structure.

Cell lengths 7.940, 9.615, 13.622 Å; angles 90.00, 123.78, 90.00 degrees
Space group P2_1/c (No. 14)
One atom of each set of equivalent atoms:
Ba: 0.121 0.153 0.445
Ba: 0.294 0.708 0.440
Ba: 0.357 0.033 0.244
In: 0.214 0.112 0.759
Ir: 0.500 0.000 0.500

Values from the calculation:
The calculation puts the raw total energy at -3.11 eV/atom. Its total magnetization is 0.000 μB/cell. The calculation puts the formation energy from the elements at -240 meV/atom.


[17]
## CaFe2As (GGA-PBE)

Data for a geometry-optimized CaFe2As structure.

Cell lengths 3.421, 4.708, 8.421 Å; angles 90.00, 90.00, 90.00 degrees
Space group Imm2 (No. 44)
One atom of each set of equivalent atoms:
Ca: 0.000 0.000 0.000
Fe: 0.000 0.000 0.499
Fe: 0.000 0.500 0.213
As: 0.000 0.500 0.785

Values from the calculation:
The calculation puts the raw total energy at -5.74 eV/atom. Its total magnetization is 8.965 μB/cell. The calculation puts the formation energy from the elements at 157 meV/atom.


[18]
## Hg2WSe (GGA-PBE)

Data for a geometry-optimized Hg2WSe structure.

Cell lengths 2.858, 4.443, 6.545 Å; angles 90.00, 90.00, 90.00 degrees
Space group Pmmm (No. 47)
One atom of each set of equivalent atoms:
Hg: 0.000 0.000 0.223
W: 0.500 0.500 0.000
Se: 0.500 0.500 0.500

Values from the calculation:
The calculation puts the raw total energy at -3.37 eV/atom. Its total magnetization is 0.812 μB/cell.


[19]
## Pm8PrSb6 (GGA-PBE)

Data for a geometry-optimized Pm8PrSb6 structure.

Cell lengths 8.2430, 8.2430, 25.4687 Å; angles 90.00, 90.00, 120.00 degrees
Space group R-3 (No. 148, hexagonal axes)
One atom of each set of equivalent atoms:
Pm: 0.0000 0.0000 0.1666
Pm: 0.0007 0.3312 0.6217
Pr: 0.0000 0.0000 0.5000
Sb: 0.0005 0.3366 0.4318

Values from the calculation:
The calculation puts the raw total energy at -5.33 eV/atom. Its total magnetization is 0.000 μB/cell.


[20]
## KMn2CuS (GGA-PBE)

Data for a geometry-optimized KMn2CuS structure.

Cell lengths 4.792, 4.792, 4.996 Å; angles 90.00, 90.00, 90.00 degrees
Space group P4/mmm (No. 123)
One atom of each set of equivalent atoms:
K: 0.000 0.000 0.000
Mn: 0.000 0.500 0.500
Cu: 0.500 0.500 0.500
S: 0.500 0.500 0.000

Values from the calculation:
The calculation puts the raw total energy at -4.99 eV/atom. Its total magnetization is 9.265 μB/cell.